Compound: Ba2Al4In3Ga
Source: the Alexandria database
Functional: GGA-PBE
Structure: relaxed

Geometry as CIF:
```
data_Ba2Al4In3Ga
_space_group_name_H-M_alt 'P 1'
_space_group_IT_number 1
_space_group_name_Hall 'P 1'
_cell_length_a 4.748
_cell_length_b 4.748
_cell_length_c 11.647
_cell_angle_alpha 90.00
_cell_angle_beta 90.00
_cell_angle_gamma 90.00
loop_
_atom_site_label
_atom_site_type_symbol
_atom_site_fract_x
_atom_site_fract_y
_atom_site_fract_z
Ba1 Ba 0.500 0.000 0.254
Ba2 Ba 0.000 0.500 0.746
Al1 Al 0.500 0.500 0.000
Al2 Al 0.000 0.000 0.000
Al3 Al 0.500 0.000 0.626
Al4 Al 0.000 0.500 0.374
In1 In 0.000 0.000 0.500
In2 In 0.500 0.000 0.865
In3 In 0.000 0.500 0.135
Ga1 Ga 0.500 0.500 0.500
```

Values from the calculation:
**Space-group type**: P-4m2, No. 115
**Formation enthalpy at 0 K**: -2.8 eV/f.u.
**E**: -3.28 eV per atom
**DOS(E_F)**: 3.3 states/eV per cell